The following is a PBE calculation of a relaxed structure of PmEr2Tl2Ag2, from Alexandria.

Calculated values
**ΔH_f (0 K)**: -0.18 eV/atom
**Symmetry**: R-3m
**Total magnetic moment**: 0.0 μB/cell

abc: 4.9105 4.9105 9.1070
angles: 74.36 74.36 60.00
Closest atoms and distances in Å follow each position.
Element x y z (fractional)
Pm  0.0000  0.0000  0.0000  6 Tl 3.36, 2 Er 3.46
Er  0.1333  0.1333  0.6001  3 Ag 2.93, 3 Tl 3.28
Er  0.8667  0.8667  0.3999  3 Ag 2.93, 3 Tl 3.28
Tl  0.7365  0.7365  0.7906  3 Ag 2.98, 3 Er 3.28
Tl  0.2635  0.2635  0.2094  3 Ag 2.98, 3 Er 3.28
Ag  0.5618  0.5618  0.3146  3 Er 2.93, 3 Tl 2.98, 1 Ag 3.21
Ag  0.4382  0.4382  0.6854  3 Er 2.93, 3 Tl 2.98, 1 Ag 3.21


The following is a PBE calculation of a relaxed structure of PmErTlAg, from Alexandria.

Calculated values
**ΔH_f (0 K)**: -0.33 eV/atom
**Energy relative to the lowest polymorph listed for this composition**: 0.000 eV per atom
**Symmetry**: P4mm
**Total magnetic moment**: 0.2 μB/cell

abc: 3.6709 3.6709 7.8141
angles: 90.00 90.00 90.00
Closest atoms and distances in Å follow each position.
Element x y z (fractional)
Pm  0.0000  0.0000  0.8460  4 Ag 3.30, 4 Tl 3.36, 1 Er 3.67, 4 Pm 3.67
Er  0.0000  0.0000  0.3765  4 Ag 3.07, 4 Tl 3.28
Tl  0.5000  0.5000  0.1192  4 Er 3.28, 4 Pm 3.36, 1 Ag 3.65, 4 Tl 3.67
Ag  0.5000  0.5000  0.5863  4 Er 3.07, 4 Pm 3.30


The following is a PBE calculation of a relaxed structure of PmErTlAg, from Alexandria.

Calculated values
**ΔH_f (0 K)**: -0.32 eV/atom
**Energy relative to the lowest polymorph listed for this composition**: 0.009 eV per atom
**Symmetry**: F-43m
**Total magnetic moment**: 0.2 μB/cell

abc: 5.3115 5.3115 5.3115
angles: 60.00 60.00 60.00
Closest atoms and distances in Å follow each position.
Element x y z (fractional)
Tl  0.2500  0.2500  0.2500  4 Er 3.25, 4 Pm 3.25
Pm  0.0000  0.0000  0.0000  4 Tl 3.25, 4 Ag 3.25
Ag  0.7500  0.7500  0.7500  4 Er 3.25, 4 Pm 3.25
Er  0.5000  0.5000  0.5000  4 Ag 3.25, 4 Tl 3.25


The following is a PBE calculation of a relaxed structure of PmYErAg, from Alexandria.

Calculated values
**ΔH_f (0 K)**: -0.14 eV/atom
**Energy relative to the lowest polymorph listed for this composition**: 0.000 eV per atom
**Symmetry**: P4mm
**Total magnetic moment**: 0.0 μB/cell

abc: 3.6122 3.6122 8.7437
angles: 90.00 90.00 90.00
Closest atoms and distances in Å follow each position.
Element x y z (fractional)
Pm  0.0000  0.0000  0.0750  4 Er 3.59, 4 Pm 3.61, 4 Y 3.63
Y  0.5000  0.5000  0.7804  4 Ag 3.17
Er  0.5000  0.5000  0.3639  4 Ag 3.10
Ag  0.0000  0.0000  0.5653  4 Er 3.10, 4 Y 3.17


The following is a PBE calculation of a relaxed structure of PmYErAg, from Alexandria.

Calculated values
**ΔH_f (0 K)**: 0.10 eV/atom
**Energy relative to the lowest polymorph listed for this composition**: 0.238 eV per atom
**Symmetry**: F-43m
**Total magnetic moment**: 0.0 μB/cell

abc: 5.4048 5.4048 5.4048
angles: 60.00 60.00 60.00
Closest atoms and distances in Å follow each position.
Element x y z (fractional)
Y  0.5000  0.5000  0.5000  4 Pm 3.31, 4 Ag 3.31
Pm  0.7500  0.7500  0.7500  4 Y 3.31, 4 Er 3.31
Ag  0.2500  0.2500  0.2500  4 Y 3.31, 4 Er 3.31
Er  0.0000  0.0000  0.0000  4 Ag 3.31, 4 Pm 3.31


The following is a PBE calculation of a relaxed structure of PrEr3Ag, from Alexandria.

Calculated values
**ΔH_f (0 K)**: -0.02 eV/atom
**Symmetry**: C2/c
**Total magnetic moment**: 0.0 μB/cell

abc: 7.1008 9.7742 9.7742
angles: 64.78 79.96 79.96
Closest atoms and distances in Å follow each position.
Element x y z (fractional)
Pr  0.2500  0.9761  0.0239  2 Ag 3.57, 3 Pr 3.59-3.91, 8 Er 3.61-3.81
Pr  0.7500  0.0239  0.9761  2 Ag 3.57, 3 Pr 3.59-3.91, 8 Er 3.61-3.81
Pr  0.2500  0.3492  0.6508  6 Ag 3.51-3.83, 8 Er 3.75-3.81, 1 Pr 3.91
Pr  0.7500  0.6508  0.3492  6 Ag 3.51-3.83, 8 Er 3.75-3.81, 1 Pr 3.91
Er  0.5956  0.6620  0.9968  1 Ag 2.95
Er  0.9044  0.0032  0.3380  1 Ag 2.95
Er  0.4044  0.3380  0.0032  1 Ag 2.95
Er  0.0956  0.9968  0.6620  1 Ag 2.95
Er  0.9237  0.3361  0.0032  1 Ag 2.96
Er  0.5763  0.9968  0.6639  1 Ag 2.96
Er  0.0763  0.6639  0.9968  1 Ag 2.96
Er  0.4237  0.0032  0.3361  1 Ag 2.96
Er  0.4066  0.6827  0.6826  2 Ag 2.93
Er  0.0934  0.3174  0.3173  2 Ag 2.93
Er  0.5934  0.3173  0.3174  2 Ag 2.93
Er  0.9066  0.6826  0.6827  2 Ag 2.93
Ag  0.7041  0.4225  0.7412  1 Ag 2.65, 3 Er 2.93-2.95
Ag  0.7959  0.2588  0.5775  1 Ag 2.65, 3 Er 2.93-2.95
Ag  0.2959  0.5775  0.2588  1 Ag 2.65, 3 Er 2.93-2.95
Ag  0.2041  0.7412  0.4225  1 Ag 2.65, 3 Er 2.93-2.95


The following is a PBE calculation of a relaxed structure of Pr2ErAg6, from Alexandria.

Calculated values
**ΔH_f (0 K)**: -0.24 eV/atom
**Symmetry**: P6/mmm
**Total magnetic moment**: 0.0 μB/cell

abc: 3.5233 8.3316 8.3316
angles: 60.02 89.99 89.99
Closest atoms and distances in Å follow each position.
Element x y z (fractional)
Pr  0.0000  0.3333  0.3333  12 Ag 3.30, 2 Pr 3.52
Pr  0.0000  0.6667  0.6667  12 Ag 3.30, 2 Pr 3.52
Er  0.0000  0.0000  0.0000  12 Ag 3.26-3.27, 2 Er 3.52
Ag  0.4994  0.6701  0.0000  3 Ag 2.75-2.83
Ag  0.5006  0.0000  0.3299  3 Ag 2.75-2.83
Ag  0.5006  0.3299  0.0000  3 Ag 2.75-2.83
Ag  0.5000  0.6700  0.3300  3 Ag 2.75-2.83
Ag  0.4994  0.0000  0.6701  3 Ag 2.75-2.83
Ag  0.5000  0.3300  0.6700  3 Ag 2.75-2.83


The following is a PBE calculation of a relaxed structure of PrEr4Ag5, from Alexandria.

Calculated values
**ΔH_f (0 K)**: -0.32 eV/atom
**Symmetry**: P4/mmm
**Total magnetic moment**: 0.0 μB/cell

abc: 3.6025 3.6025 18.5460
angles: 90.00 90.00 90.00
Closest atoms and distances in Å follow each position.
Element x y z (fractional)
Pr  0.0000  0.0000  0.0000  8 Ag 3.30, 4 Pr 3.60
Er  0.0000  0.0000  0.2062  8 Ag 3.07-3.13
Er  0.0000  0.0000  0.4020  8 Ag 3.13
Er  0.0000  0.0000  0.5980  8 Ag 3.13
Er  0.0000  0.0000  0.7938  8 Ag 3.07-3.13
Ag  0.5000  0.5000  0.1133  4 Er 3.07, 4 Pr 3.30
Ag  0.5000  0.5000  0.3040  8 Er 3.13
Ag  0.5000  0.5000  0.5000  8 Er 3.13
Ag  0.5000  0.5000  0.6960  8 Er 3.13
Ag  0.5000  0.5000  0.8867  4 Er 3.07, 4 Pr 3.30


The following is a PBE calculation of a relaxed structure of PrEr3Ag2, from Alexandria.

Calculated values
**ΔH_f (0 K)**: -0.13 eV/atom
**Energy relative to the lowest polymorph listed for this composition**: 0.078 eV per atom
**Symmetry**: C2/m
**Total magnetic moment**: 0.0 μB/cell

abc: 5.3072 9.2510 8.7013
angles: 125.05 90.00 106.67
Closest atoms and distances in Å follow each position.
Element x y z (fractional)
Pr  0.8634  0.7269  0.9198  5 Ag 3.27-3.38, 4 Er 3.47-3.56
Pr  0.1366  0.2731  0.0802  5 Ag 3.27-3.38, 4 Er 3.47-3.56
Er  0.3082  0.6163  0.6110  2 Ag 2.86-3.10
Er  0.9376  0.8751  0.6011  3 Ag 3.14-3.18, 2 Er 3.49, 1 Pr 3.49
Er  0.6185  0.2370  0.7105  4 Ag 2.86-3.14
Er  0.3815  0.7630  0.2895  4 Ag 2.86-3.14
Er  0.0624  0.1249  0.3989  3 Ag 3.14-3.18, 2 Er 3.49, 1 Pr 3.49
Er  0.6918  0.3837  0.3890  2 Ag 2.86-3.10
Ag  0.5096  0.0192  0.8535  1 Ag 2.77, 2 Er 2.86
Ag  0.4904  0.9808  0.1465  1 Ag 2.77, 2 Er 2.86
Ag  0.7731  0.5463  0.1582  5 Er 3.07-3.14, 3 Pr 3.29-3.38
Ag  0.2269  0.4537  0.8418  5 Er 3.07-3.14, 3 Pr 3.29-3.38


The following is a PBE calculation of a relaxed structure of Pr2Er3Ag2, from Alexandria.

Calculated values
**ΔH_f (0 K)**: -0.08 eV/atom
**Symmetry**: C2/m
**Total magnetic moment**: 0.0 μB/cell

abc: 5.0262 6.0005 8.2182
angles: 112.35 90.00 114.76
Closest atoms and distances in Å follow each position.
Element x y z (fractional)
Pr  0.8762  0.7525  0.2345  4 Ag 3.21-3.40
Pr  0.1238  0.2475  0.7655  4 Ag 3.21-3.40
Er  0.5000  0.0000  0.0000  4 Ag 3.03
Er  0.6383  0.2767  0.4575  1 Ag 2.90
Er  0.3617  0.7233  0.5425  1 Ag 2.90
Ag  0.8485  0.6969  0.8203  3 Er 2.90-3.03, 1 Pr 3.21
Ag  0.1515  0.3031  0.1797  3 Er 2.90-3.03, 1 Pr 3.21


The following is a PBE calculation of a relaxed structure of Pr2ErAg5, from Alexandria.

Calculated values
**ΔH_f (0 K)**: -0.20 eV/atom
**Symmetry**: I4/mmm
**Total magnetic moment**: 0.0 μB/cell

abc: 5.1418 5.1418 8.1022
angles: 108.50 108.50 90.00
Closest atoms and distances in Å follow each position.
Element x y z (fractional)
Pr  0.7299  0.7299  0.4597  9 Ag 3.11-3.47
Pr  0.2701  0.2701  0.5403  9 Ag 3.11-3.47
Er  0.0000  0.0000  0.0000  8 Ag 3.02
Ag  0.5000  0.5000  0.0000  8 Ag 3.02, 2 Pr 3.33
Ag  0.8907  0.3907  0.7814  3 Ag 3.02-3.17, 2 Er 3.02, 2 Pr 3.11
Ag  0.3907  0.8907  0.7814  2 Er 3.02, 3 Ag 3.02-3.17, 2 Pr 3.11
Ag  0.1093  0.6093  0.2186  3 Ag 3.02-3.17, 2 Er 3.02, 2 Pr 3.11
Ag  0.6093  0.1093  0.2186  2 Er 3.02, 3 Ag 3.02-3.17, 2 Pr 3.11


The following is a PBE calculation of a relaxed structure of PrEr3Ag2, from Alexandria.

Calculated values
**ΔH_f (0 K)**: -0.21 eV/atom
**Energy relative to the lowest polymorph listed for this composition**: 0.000 eV per atom
**Symmetry**: P4/mmm
**Total magnetic moment**: 0.0 μB/cell

abc: 3.6152 3.6152 12.3244
angles: 90.00 90.00 90.00
Closest atoms and distances in Å follow each position.
Element x y z (fractional)
Pr  0.5000  0.5000  0.5000  4 Pr 3.62, 8 Er 3.63
Er  0.0000  0.0000  0.0000  8 Ag 3.14
Er  0.0000  0.0000  0.7095  4 Ag 3.11
Er  0.0000  0.0000  0.2905  4 Ag 3.11
Ag  0.5000  0.5000  0.8527  8 Er 3.11-3.14
Ag  0.5000  0.5000  0.1473  8 Er 3.11-3.14